Li3Er3CrO8 | GGA+U | relaxed Values from VASP.

```
&SYSTEM
  ibrav = 0, nat = 15, ntyp = 4
/
ATOMIC_SPECIES
Er 167.26 Er.upf
Li 6.94 Li.upf
O 16.00 O.upf
Cr 52.00 Cr.upf
ATOMIC_POSITIONS crystal
Er 0.500 0.000 0.500
Li 0.500 0.500 0.000
Er 0.000 0.500 0.500
O 0.779 0.001 0.279
Li 0.000 0.000 0.000
Li 0.000 0.500 0.000
O 0.222 0.001 0.279
Cr 0.000 0.000 0.500
O 0.256 0.511 0.266
O 0.221 0.443 0.721
O 0.221 0.999 0.721
Er 0.500 0.500 0.500
O 0.778 0.999 0.721
O 0.779 0.557 0.279
O 0.744 0.489 0.734
CELL_PARAMETERS angstrom
-2.357 5.937 -1.299
1.399 -4.091 -4.880
-4.737 -1.035 3.862
```

Results
The value obtained for the density is 6.43 Mg/m³. Its space group is R-3m. The calculation puts the total moment at 1.98 μB per formula unit. The calculated total energy comes out at -0.5202 Ry per atom.